No. 1
First-principles (PBE) data for a geometry-optimized CdAg12Sn3 structure, as listed in the Alexandria database.

Lattice parameters (Å, degrees): 4.2758 4.2758 16.7719 90.00 90.00 90.00
Closest atoms and distances in Å follow each position.
Atoms (fractional coordinates):
1 Ag 0.0000 0.5000 0.8774  2 Cd 2.97, 8 Ag 2.97-3.02, 2 Sn 3.00
2 Ag 0.5000 0.5000 0.0000  8 Ag 2.97, 4 Cd 3.02
3 Sn 0.0000 0.0000 0.2480  12 Ag 3.00-3.02
4 Ag 0.5000 0.5000 0.7521  8 Ag 3.00, 4 Sn 3.02
5 Sn 0.0000 0.0000 0.7520  12 Ag 3.00-3.02
6 Cd 0.0000 0.0000 0.0000  12 Ag 2.97-3.02
7 Ag 0.5000 0.0000 0.6265  4 Sn 3.00-3.01, 8 Ag 3.00-3.02
8 Ag 0.0000 0.5000 0.6265  4 Sn 3.00-3.01, 8 Ag 3.00-3.02
9 Ag 0.5000 0.0000 0.1226  8 Ag 2.97-3.02, 2 Cd 2.97, 2 Sn 3.00
10 Ag 0.5000 0.0000 0.8774  8 Ag 2.97-3.02, 2 Cd 2.97, 2 Sn 3.00
11 Ag 0.5000 0.5000 0.2479  8 Ag 3.00, 4 Sn 3.02
12 Ag 0.0000 0.5000 0.1226  2 Cd 2.97, 8 Ag 2.97-3.02, 2 Sn 3.00
13 Ag 0.5000 0.0000 0.3735  4 Sn 3.00-3.01, 8 Ag 3.00-3.02
14 Ag 0.5000 0.5000 0.5000  8 Ag 3.01, 4 Sn 3.02
15 Ag 0.0000 0.5000 0.3735  4 Sn 3.00-3.01, 8 Ag 3.00-3.02
16 Sn 0.0000 0.0000 0.5000  12 Ag 3.01-3.02

***

No. 2
First-principles (PBE) data for a geometry-optimized Cd5AgSn structure, as listed in the Alexandria database.

Lattice parameters (Å, degrees): 7.6188 7.6189 7.6189 74.50 71.33 114.37
Closest atoms and distances in Å follow each position.
Atoms (fractional coordinates):
1 Cd 0.4474 0.7065 0.2410  2 Ag 2.91-3.22, 4 Cd 2.94-3.26
2 Sn 0.5000 0.0000 0.5000  2 Ag 3.07, 10 Cd 3.10-3.34
3 Ag 0.7500 0.2290 0.0210  8 Cd 2.91-3.22, 2 Sn 3.07
4 Ag 0.2500 0.7710 0.9790  8 Cd 2.91-3.22, 2 Sn 3.07
5 Cd 0.0526 0.3116 0.2410  2 Ag 2.91-3.22, 4 Cd 2.94-3.26
6 Cd 0.7542 0.5000 0.2458  2 Ag 3.01, 6 Cd 3.06-3.32, 2 Sn 3.10
7 Cd 0.5526 0.2935 0.7590  2 Ag 2.91-3.22, 4 Cd 2.94-3.26
8 Cd 0.9474 0.6884 0.7590  2 Ag 2.91-3.22, 4 Cd 2.94-3.26
9 Cd 0.2500 0.2438 0.5062  6 Cd 2.94-3.06, 2 Sn 3.16
10 Cd 0.7500 0.7562 0.4938  6 Cd 2.94-3.06, 2 Sn 3.16
11 Cd 0.2542 0.0000 0.2458  2 Ag 3.01, 6 Cd 3.06-3.32, 2 Sn 3.10
12 Cd 0.7458 0.0000 0.7542  2 Ag 3.01, 6 Cd 3.06-3.32, 2 Sn 3.10
13 Cd 0.2458 0.5000 0.7542  2 Ag 3.01, 6 Cd 3.06-3.32, 2 Sn 3.10
14 Sn 0.0000 0.0000 0.0000  2 Ag 3.07, 10 Cd 3.10-3.34

***

No. 3
First-principles (PBE) data for a geometry-optimized Cd2Ag2Sn structure, as listed in the Alexandria database.

Lattice parameters (Å, degrees): 8.3972 8.3972 3.0938 90.00 90.00 90.00
Closest atoms and distances in Å follow each position.
Atoms (fractional coordinates):
1 Ag 0.3296 0.1704 0.5000  6 Cd 2.86-2.96, 2 Ag 3.09
2 Cd 0.6270 0.1270 0.0000  6 Ag 2.86-2.96, 3 Cd 3.02-3.09
3 Cd 0.8730 0.6270 0.0000  6 Ag 2.86-2.96, 3 Cd 3.02-3.09
4 Cd 0.1270 0.3730 0.0000  6 Ag 2.86-2.96, 3 Cd 3.02-3.09
5 Ag 0.6704 0.8296 0.5000  6 Cd 2.86-2.96, 2 Ag 3.09
6 Sn 0.5000 0.5000 0.0000  2 Sn 3.09, 4 Cd 3.31
7 Ag 0.1704 0.6704 0.5000  6 Cd 2.86-2.96, 2 Ag 3.09
8 Ag 0.8296 0.3296 0.5000  6 Cd 2.86-2.96, 2 Ag 3.09
9 Sn 0.0000 0.0000 0.0000  2 Sn 3.09, 4 Cd 3.31
10 Cd 0.3730 0.8730 0.0000  6 Ag 2.86-2.96, 3 Cd 3.02-3.09

Energy relative to the lowest polymorph listed for this composition   0.023 eV/atom

***

no.,magnetization (μB/f.u.),DFT formation energy (meV per atom),final energy (eV/cell)
1,0.0,1,-47.125
2,0.0,53,-22.116
3,0.0,36,-22.714